Y2CrGaO6: optimized geometry, PBE+U.

Summary:
Its space-group type is P4mm, No. 99. The total DFT energy (no corrections) is -7.85 eV per atom.

```
10
Lattice="-4.0635 -1.7423 1.2952 2.4794 -3.7151 2.7812 -0.0074 3.1501 4.2144" Properties=species:S:1:pos:R:3 pbc="T T T"
Y 1.2013 -1.8740 1.4028
Y -0.0421 1.5586 2.1194
Cr -1.2374 -1.3430 4.2861
Ga -2.3660 -1.0145 0.7541
O -2.3069 -1.3898 2.6545
O -2.3107 0.2068 4.7906
O 0.4897 -0.6025 3.7357
O -0.7411 -0.3178 0.2362
O -1.0540 -1.6762 6.2003
O -1.0502 -3.2729 4.0641
```